Density functional theory data (PBEsol) for a relaxed BeRh2 crystal.

The formation energy comes out at -33 kJ/mol of atoms.

It has space group Fd-3m (No. 227, origin choice 2), with a = 10.3372 Å, b = 10.3372 Å, c = 10.3372 Å, α = 90.00°, β = 90.00° and γ = 90.00°. The inequivalent atoms are Be at (0.0335, 0.0335, 0.2165), Rh at (0.0000, 0.0000, 0.0000) and Rh at (0.0606, 0.3750, 0.8750).

***

Density functional theory data (PBEsol) for a relaxed KNi2Se crystal.

Its energy relative to the elements, uncorrected is -143 meV per atom.

It has space group R-3m (No. 166, hexagonal axes), with a = 4.0514 Å, b = 4.0514 Å, c = 16.9202 Å, α = 90.00°, β = 90.00° and γ = 120.00°. The inequivalent atoms are K at (0.0000, 0.0000, 0.0000), Ni at (0.0000, 0.0000, 0.1843) and Se at (0.0000, 0.0000, 0.5000).